24
Lattice="6.965 0.000 0.000 -3.482 6.032 0.000 0.000 0.000 7.150" Properties=species:S:1:pos:R:3 comment="Cu3P (PBE-GGA, optimized geometry)" total_energy_ev_per_atom=-4.164 volume_a3_per_fu=50.1 crystal_system=hexagonal pbc="T T T"
Cu 0.000 4.021 1.427
P 2.313 0.000 5.363
P 1.156 2.003 1.788
Cu 5.012 0.000 4.122
Cu 2.506 4.340 0.547
Cu -0.976 1.691 0.547
Cu -2.172 3.762 6.611
Cu 0.976 1.691 4.122
P 4.652 0.000 1.788
Cu 0.000 0.000 5.874
Cu 0.000 4.021 5.002
P -1.156 2.003 5.363
Cu 3.482 2.010 5.002
Cu -1.310 2.270 3.036
Cu -2.506 4.340 4.122
P -2.326 4.029 1.788
Cu 2.621 0.000 3.036
Cu 0.000 0.000 2.299
Cu 3.482 2.011 1.427
Cu 1.310 2.270 6.611
Cu 4.344 0.000 6.611
Cu 1.953 0.000 0.547
P 2.326 4.029 5.363
Cu 2.172 3.762 3.036

3
Lattice="-2.161 1.885 3.537 -4.457 -0.722 0.593 -1.446 -2.611 3.439" Properties=species:S:1:pos:R:3 comment="DySiOs (PBE-GGA, optimized geometry)" total_energy_ev_per_atom=-6.210 volume_a3_per_fu=66.8 crystal_system=cubic m_tot_mub_per_cell=0.01 pbc="T T T"
Si -6.048 -1.086 5.677
Os -2.016 -0.362 1.892
Dy 0.000 0.000 0.000

8
Lattice="2.056 -7.310 0.000 2.056 7.310 0.000 0.000 0.000 5.184" Properties=species:S:1:pos:R:3 comment="AgPbSO (PBE-GGA, optimized geometry)" relative_energy_ev_per_atom=0.125 volume_a3_per_fu=77.9 crystal_system=orthorhombic pbc="T T T"
O 2.056 6.250 0.012
O 2.056 -6.250 2.604
Pb 2.056 6.127 2.325
S 2.056 -2.991 2.455
Ag 2.056 -2.546 5.018
S 2.056 2.991 5.047
Ag 2.056 2.546 2.427
Pb 2.056 -6.127 4.917

4
Lattice="0.000 3.190 3.190 3.190 0.000 3.190 3.190 3.190 0.000" Properties=species:S:1:pos:R:3 comment="HfCuGePd (PBE-GGA, optimized geometry)" relative_energy_ev_per_atom=0.005 volume_a3_per_fu=64.9 crystal_system=cubic m_tot_mub_per_cell=0.00 pbc="T T T"
Cu 4.785 4.785 4.785
Hf 1.595 1.595 1.595
Ge 0.000 0.000 0.000
Pd 3.190 3.190 3.190

68
Lattice="8.706 0.000 0.000 0.000 8.706 0.000 0.000 0.000 11.875" Properties=species:S:1:pos:R:3 comment="Ho2Fe14B (PBE-GGA, optimized geometry)" total_energy_ev_per_atom=-7.889 volume_a3_per_fu=225.0 crystal_system=tetragonal m_tot_mub_per_cell=123.51 pbc="T T T"
Fe 6.307 0.578 10.372
Fe 0.327 5.584 8.009
Fe 4.680 7.475 2.071
Fe 3.508 3.508 9.505
Ho 5.601 3.105 0.000
Ho 1.248 1.248 5.938
Fe 5.584 0.327 3.866
Fe 0.578 6.307 10.372
Fe 5.945 2.762 3.014
Fe 0.846 7.861 8.308
Fe 4.026 1.231 9.804
Fe 0.000 4.353 0.000
Fe 0.578 6.307 1.503
Fe 1.592 1.592 8.951
Fe 3.508 3.508 2.370
Fe 0.000 0.000 1.382
Fe 8.129 2.399 1.503
Fe 4.931 6.752 4.434
Fe 8.129 2.399 10.372
Fe 7.475 4.680 9.804
Fe 3.122 8.379 8.009
Fe 3.775 1.954 7.441
Ho 3.105 5.601 0.000
Fe 6.752 4.931 7.441
Fe 0.327 5.584 3.866
Fe 7.475 4.680 2.071
Ho 6.376 2.330 5.938
Fe 1.954 3.775 4.434
Fe 1.231 4.026 2.071
Fe 2.762 5.945 8.862
Fe 5.945 2.762 8.862
Ho 2.023 2.023 0.000
Fe 7.861 0.846 3.568
B 7.619 1.087 0.000
Fe 7.115 7.115 8.951
Fe 5.199 5.199 9.505
B 3.266 3.266 5.938
Fe 2.399 8.129 10.372
B 1.087 7.619 0.000
Ho 6.683 6.683 0.000
Fe 5.584 0.327 8.009
Fe 7.861 0.846 8.308
Fe 0.846 7.861 3.568
Ho 2.330 6.376 5.938
Fe 3.122 8.379 3.866
Fe 0.000 4.353 5.938
Fe 5.199 5.199 2.370
Fe 4.026 1.231 2.071
B 5.440 5.440 5.938
Ho 7.458 7.458 5.938
Fe 6.752 4.931 4.434
Fe 2.399 8.129 1.503
Fe 0.000 0.000 10.494
Fe 1.592 1.592 2.924
Fe 4.353 0.000 0.000
Fe 4.353 4.353 4.556
Fe 6.307 0.578 1.503
Fe 4.680 7.475 9.804
Fe 4.931 6.752 7.441
Fe 8.379 3.122 3.866
Fe 2.762 5.945 3.014
Fe 1.954 3.775 7.441
Fe 4.353 4.353 7.319
Fe 1.231 4.026 9.804
Fe 3.775 1.954 4.434
Fe 7.115 7.115 2.924
Fe 8.379 3.122 8.009
Fe 4.353 0.000 5.938

8
Lattice="4.642 0.000 0.000 0.000 4.642 0.000 0.000 0.000 6.645" Properties=species:S:1:pos:R:3 comment="Li2Sc2Tl2CuAu (PBE-GGA, optimized geometry)" total_energy_ev_per_atom=-3.864 volume_a3_per_fu=143.2 crystal_system=tetragonal m_tot_mub_per_cell=0.00 pbc="T T T"
Tl 2.321 0.000 1.778
Tl 0.000 2.321 4.867
Li 2.321 2.321 0.000
Sc 0.000 2.321 1.685
Au 0.000 0.000 0.000
Cu 2.321 2.321 3.323
Sc 2.321 0.000 4.960
Li 0.000 0.000 3.323

3
Lattice="2.395 1.382 3.910 -2.395 1.382 3.910 0.000 -2.765 3.910" Properties=species:S:1:pos:R:3 comment="AcAsIr (PBE-GGA, optimized geometry)" relative_energy_ev_per_atom=0.000 volume_a3_per_fu=77.7 crystal_system=cubic m_tot_mub_per_cell=0.47 pbc="T T T"
Ac 0.000 0.000 8.798
Ir 0.000 0.000 0.000
As 0.000 0.000 2.933

8
Lattice="-3.699 -1.031 -1.488 -0.748 -2.211 3.392 -4.264 8.583 4.653" Properties=species:S:1:pos:R:3 comment="AcCuAs2 (PBE-GGA, optimized geometry)" total_energy_ev_per_atom=-5.084 volume_a3_per_fu=90.3 crystal_system=tetragonal m_tot_mub_per_cell=0.00 pbc="T T T"
As -4.355 2.670 3.279
As -2.132 4.291 2.327
Cu 0.000 0.000 0.000
Ac -5.007 5.840 2.702
As -2.429 0.651 -0.111
As -4.058 6.310 5.717
Cu -2.223 -1.621 0.952
Ac -1.481 1.122 2.904